Record 1
DFT (GGA-PBE) results for Ho8Sn2Pb after structural relaxation.

Unit cell a=19.6081 b=5.0095 c=6.8735 alpha=90.00 beta=103.31 gamma=90.00
Last column: nearest neighbours and their distance in Å.
Space group C2/m (No. 12)
Unique sites:
1 Ho 0.0244 0.0000 0.2597 (multiplicity 4)  1 Sn 3.09, 2 Pb 3.10
2 Ho 0.0931 0.5000 0.9798 (multiplicity 4)  1 Pb 3.38, 2 Sn 3.39, 7 Ho 3.54-3.72
3 Ho 0.1599 0.5000 0.5042 (multiplicity 4)  3 Sn 3.10-3.15, 1 Pb 3.13, 2 Ho 3.38
4 Ho 0.2175 0.0000 0.8305 (multiplicity 4)  3 Sn 3.19-3.33, 4 Ho 3.38-3.46
5 Sn 0.1821 0.0000 0.2606 (multiplicity 4)  9 Ho 3.09-3.39
6 Pb 0.0000 0.5000 0.5000 (multiplicity 2)  8 Ho 3.10-3.38

Summary:
* E_form: -0.33 eV/atom
* electronic total energy: -103.84 eV for the cell shown

Record 2
DFT (GGA-PBE) results for SeI2N after structural relaxation.

Unit cell a=14.6336 b=7.5669 c=6.0467 alpha=90.00 beta=90.69 gamma=90.00
Last column: nearest neighbours and their distance in Å.
Space group C2/m (No. 12)
Unique sites:
1 Se 0.0795 0.0000 0.4483 (multiplicity 4)  1 N 1.79
2 I 0.0064 0.5000 0.2500 (multiplicity 4)  3 I 3.03-3.31
3 I 0.2322 0.5000 0.2803 (multiplicity 4)  1 N 2.10
4 N 0.1247 0.0000 0.7248 (multiplicity 4)  1 Se 1.79

Summary:
* excess energy over the best structure of this formula in the dataset: 0 meV/atom
* formation energy (no corrections): 638 meV/atom
* electronic total energy: -49.44 eV for the cell shown

Record 3
DFT (GGA-PBE) results for BeCIO2 after structural relaxation.

Unit cell a=3.6096 b=3.6096 c=4.5189 alpha=90.00 beta=90.00 gamma=90.00
Last column: nearest neighbours and their distance in Å.
Space group P4/mmm (No. 123)
Unique sites:
1 Be 0.0000 0.0000 0.0000 (multiplicity 1)  4 I 2.55
2 C 0.5000 0.5000 0.5000 (multiplicity 1)  4 O 1.80
3 I 0.5000 0.5000 0.0000 (multiplicity 1)  2 C 2.26
4 O 0.0000 0.5000 0.5000 (multiplicity 2)  2 C 1.80

Summary:
* excess energy over the best structure of this formula in the dataset: 710 meV/atom
* formation energy (no corrections): 1254 meV/atom
* electronic total energy: -18.15 eV for the cell shown

Record 4
DFT (GGA-PBE) results for SrLiLa2 after structural relaxation.

Unit cell a=8.4089 b=8.4089 c=8.4089 alpha=90.00 beta=90.00 gamma=90.00
Last column: nearest neighbours and their distance in Å.
Space group Fm-3m (No. 225)
Unique sites:
1 Sr 0.0000 0.0000 0.0000 (multiplicity 4)  8 La 3.64
2 Li 0.0000 0.0000 0.5000 (multiplicity 4)  8 La 3.64
3 La 0.2500 0.2500 0.2500 (multiplicity 8)  4 Li 3.64, 4 Sr 3.64

Summary:
* excess energy over the best structure of this formula in the dataset: 197 meV/atom
* E_form: 0.27 eV/atom
* electronic total energy: -49.47 eV for the cell shown

Record 5
DFT (GGA-PBE) results for KTc2Ir after structural relaxation.

Unit cell a=2.7169 b=3.8373 c=7.9730 alpha=90.00 beta=90.00 gamma=90.00
Last column: nearest neighbours and their distance in Å.
Space group Pmm2 (No. 25)
Unique sites:
1 K 0.0000 0.0000 0.0000 (multiplicity 1)  2 K 2.72
2 Tc 0.0000 0.0000 0.5133 (multiplicity 1)  6 Tc 2.65-2.72, 4 Ir 2.69
3 Tc 0.5000 0.5000 0.3601 (multiplicity 1)  1 Ir 2.54, 6 Tc 2.65-2.72
4 Ir 0.5000 0.5000 0.6783 (multiplicity 1)  5 Tc 2.54-2.69, 2 Ir 2.72

Summary:
* excess energy over the best structure of this formula in the dataset: 34 meV/atom
* E_form: 0.64 eV/atom
* electronic total energy: -28.14 eV for the cell shown

Record 6
DFT (GGA-PBE) results for Si2HgTe6Au after structural relaxation.

Unit cell a=15.0363 b=15.4184 c=6.9738 alpha=90.00 beta=113.63 gamma=90.00
Last column: nearest neighbours and their distance in Å.
Space group C2/c (No. 15)
Unique sites:
1 Si 0.2175 0.0700 0.2525 (multiplicity 8)  4 Te 2.54-2.56
2 Hg 0.0000 0.4959 0.2500 (multiplicity 4)  4 Te 2.86-2.90
3 Te 0.1050 0.3848 0.5955 (multiplicity 8)  1 Si 2.54
4 Te 0.1510 0.0668 0.5386 (multiplicity 8)  2 Si 2.55-2.56
5 Te 0.1562 0.2175 0.0881 (multiplicity 8)  1 Si 2.55, 1 Au 2.60
6 Au 0.0000 0.1951 0.7500 (multiplicity 4)  2 Te 2.60

Summary:
* formation energy (no corrections): 13 meV/atom
* electronic total energy: -132.58 eV for the cell shown

Record 7
DFT (GGA-PBE) results for BiPd2Pb2 after structural relaxation.

Unit cell a=7.9818 b=7.9818 c=3.6637 alpha=90.00 beta=90.00 gamma=90.00
Last column: nearest neighbours and their distance in Å.
Space group P4/mbm (No. 127)
Unique sites:
1 Bi 0.0000 0.0000 0.0000 (multiplicity 2)  4 Pd 3.11
2 Pd 0.1337 0.3663 0.0000 (multiplicity 4)  6 Pb 2.96-2.98, 1 Pd 3.02, 2 Bi 3.11
3 Pb 0.1598 0.6598 0.5000 (multiplicity 4)  6 Pd 2.96-2.98

Summary:
* excess energy over the best structure of this formula in the dataset: 38 meV/atom
* E_form: -0.17 eV/atom
* electronic total energy: -45.09 eV for the cell shown

Record 8
DFT (GGA-PBE) results for RbBP after structural relaxation.

Unit cell a=4.8043 b=5.0360 c=14.2568 alpha=90.00 beta=90.00 gamma=90.00
Last column: nearest neighbours and their distance in Å.
Space group Amm2 (No. 38)
Unique sites:
1 Rb 0.0000 0.0000 0.0000 (multiplicity 2)  4 B 3.30, 5 P 3.45-3.61
2 Rb 0.5000 0.0000 0.2648 (multiplicity 2)  4 B 3.48, 6 P 3.48-3.78
3 B 0.1706 0.0000 0.6385 (multiplicity 4)  1 B 1.64
4 P 0.0000 0.0000 0.7580 (multiplicity 2)  2 B 1.89
5 P 0.5000 0.0000 0.5671 (multiplicity 2)  2 B 1.88

Summary:
* excess energy over the best structure of this formula in the dataset: 0 meV/atom
* E_form: -0.23 eV/atom
* electronic total energy: -54.99 eV for the cell shown

Q: Look up the electronic total energy of the sixth one.
A: -132.58 eV for the cell shown